1.
Material: ThInSi2Pt5
Method: DFT, GGA-PBE
State: relaxed

Lattice parameters (Å, degrees): 3.974 3.974 11.931 90.00 90.00 90.00
Positions (direct):
1 Th 0.000 0.000 0.000
2 Si 0.500 0.500 0.302
3 Pt 0.500 0.500 0.500
4 Pt 0.000 0.500 0.187
5 Pt 0.500 0.000 0.187
6 Si 0.500 0.500 0.698
7 In 0.000 0.000 0.500
8 Pt 0.500 0.000 0.813
9 Pt 0.000 0.500 0.813

* formation energy (no corrections): -729 meV/atom
* symmetry: P4/mmm (123)


2.
Material: Tl2InSiPt
Method: DFT, GGA-PBE
State: relaxed

Lattice parameters (Å, degrees): 5.202 5.165 5.202 90.00 90.00 90.00
Positions (direct):
1 In 0.000 0.500 0.000
2 Pt 0.500 0.500 0.500
3 Tl 0.000 0.000 0.500
4 Si 0.000 0.000 0.000
5 Tl 0.500 0.000 0.000

* formation energy (no corrections): 661 meV/atom
* symmetry: P4/mmm (123)


3.
Material: TmInSi2Pt5
Method: DFT, GGA-PBE
State: relaxed

Lattice parameters (Å, degrees): 3.977 3.977 11.521 90.00 90.00 90.00
Positions (direct):
1 Pt 0.500 0.500 0.500
2 Si 0.500 0.500 0.295
3 Pt 0.000 0.500 0.182
4 Pt 0.000 0.500 0.818
5 Pt 0.500 0.000 0.818
6 Tm 0.000 0.000 0.000
7 Pt 0.500 0.000 0.182
8 In 0.000 0.000 0.500
9 Si 0.500 0.500 0.705

* formation energy (no corrections): -746 meV/atom
* symmetry: P4/mmm (123)


4.
Material: U2InSi3Pt4
Method: DFT, GGA-PBE
State: relaxed

Lattice parameters (Å, degrees): 4.079 4.079 11.028 90.00 90.00 90.00
Positions (direct):
1 Si 0.000 0.500 0.128
2 Si 0.500 0.000 0.872
3 U 0.000 0.500 0.763
4 Si 0.000 0.000 0.500
5 U 0.500 0.000 0.237
6 Pt 0.000 0.500 0.341
7 Pt 0.500 0.500 0.000
8 In 0.500 0.500 0.500
9 Pt 0.000 0.000 0.000
10 Pt 0.500 0.000 0.659

* formation energy (no corrections): -646 meV/atom
* symmetry: P-4m2 (115)


5.
Material: UIn2Si2Pt7
Method: DFT, GGA-PBE
State: relaxed

Lattice parameters (Å, degrees): 3.993 3.993 14.417 84.95 84.95 90.35
Positions (direct):
1 Pt 0.447 0.947 0.157
2 Pt 0.500 0.500 0.000
3 Pt 0.053 0.553 0.843
4 In 0.889 0.889 0.402
5 U 0.000 0.000 0.000
6 Pt 0.386 0.386 0.415
7 In 0.111 0.111 0.598
8 Pt 0.947 0.447 0.157
9 Pt 0.553 0.053 0.843
10 Si 0.416 0.416 0.253
11 Si 0.584 0.584 0.747
12 Pt 0.614 0.614 0.585

* formation energy (no corrections): -578 meV/atom
* symmetry: C2/m (12)


6.
Material: YIn2Si2Pt7
Method: DFT, GGA-PBE
State: relaxed

Lattice parameters (Å, degrees): 4.000 4.000 14.138 84.06 84.06 90.06
Positions (direct):
1 Si 0.409 0.409 0.253
2 Pt 0.558 0.057 0.841
3 Pt 0.379 0.379 0.419
4 Y 0.000 0.000 0.000
5 Pt 0.621 0.621 0.581
6 Pt 0.943 0.442 0.159
7 Pt 0.057 0.558 0.841
8 In 0.895 0.895 0.395
9 Pt 0.500 0.500 0.000
10 In 0.105 0.105 0.605
11 Pt 0.442 0.943 0.159
12 Si 0.591 0.591 0.747

* formation energy (no corrections): -698 meV/atom
* symmetry: C2/m (12)